A plane-wave DFT calculation with GGA+U was carried out for an optimized crystal structure of LiMnTl2F6.

Calculated values
Final energy ... -4.718 eV per atom
Magnetization ... 0.2000 μB per atom

a = 5.080 Å, b = 6.041 Å, c = 6.041 Å
α = 120.00°, β = 90.00°, γ = 90.00°
Fractional coordinates of all 10 atoms:
Li 0.000 0.000 0.000
Mn 0.500 0.000 0.000
Tl 0.251 0.333 0.667
Tl 0.749 0.667 0.333
F 0.729 0.146 0.292
F 0.729 0.146 0.854
F 0.729 0.708 0.854
F 0.271 0.854 0.146
F 0.271 0.292 0.146
F 0.271 0.854 0.708